Compound: Li2MnFeF
Source: Alexandria
Functional: PBE with a Hubbard U
Structure: relaxed

Total moment = 1.510 μB/atom
Electronic total energy = -4.260 eV per atom
Space group = P4/mmm, No. 123

Unit cell a=3.932 b=5.048 c=3.932 alpha=90.00 beta=90.00 gamma=90.00
Site moments in Bohr magnetons follow the coordinates.
Positions (direct):
Mn 0.000 0.500 0.000  4.50
Li 0.000 0.000 0.500  -0.03
Li 0.500 0.000 0.000  -0.03
Fe 0.500 0.500 0.500  2.99
F 0.000 0.000 0.000  0.02